A geometry-optimized LaTa2Fe2 structure. Source: Alexandria, functional PBE-GGA.

a b c (Å): 6.120 6.120 6.120
angles (deg): 139.13 139.13 59.18
Fractional positions:
La 0.000 0.000 0.000
Ta 0.358 0.358 0.000
Ta 0.642 0.642 0.000
Fe 0.250 0.750 0.500
Fe 0.750 0.250 0.500

Computed properties:
V	97.2	Å³/cell
energy above the most stable polymorph in this dataset	0.2973	eV per atom
E_form	293	meV per atom
Fermi-level density of states	0.79	states/eV/atom